# PrNi5Ir2 PBE-GGA optimized geometry
# Final energy = -102.457 eV for the cell shown
data_PrNi5Ir2
_chemical_formula_sum 'Pr2 Ni10 Ir4'
_symmetry_space_group_name_H-M 'I m m m'
_symmetry_Int_Tables_number 71
_symmetry_space_group_name_Hall '-I 2 2'
_cell_length_a 3.844
_cell_length_b 6.702
_cell_length_c 9.457
_cell_angle_alpha 90.00
_cell_angle_beta 90.00
_cell_angle_gamma 90.00
loop_
_atom_site_label
_atom_site_type_symbol
_atom_site_fract_x
_atom_site_fract_y
_atom_site_fract_z
Pr1 Pr 0.000 0.000 0.000
Ni1 Ni 0.000 0.177 0.368
Ni2 Ni 0.000 0.500 0.000
Ir1 Ir 0.000 0.500 0.253

# Pr3Ni4Ir4 PBE-GGA optimized geometry
# Final energy = -150.414 eV for the cell shown
data_Pr3Ni4Ir4
_chemical_formula_sum 'Pr6 Ni8 Ir8'
_symmetry_space_group_name_H-M 'I -4 3 m'
_symmetry_Int_Tables_number 217
_symmetry_space_group_name_Hall 'I -4 2 3'
_cell_length_a 7.549
_cell_length_b 7.549
_cell_length_c 7.549
_cell_angle_alpha 90.00
_cell_angle_beta 90.00
_cell_angle_gamma 90.00
loop_
_atom_site_label
_atom_site_type_symbol
_atom_site_fract_x
_atom_site_fract_y
_atom_site_fract_z
Pr1 Pr 0.000 0.000 0.500
Ni1 Ni 0.199 0.199 0.801
Ir1 Ir 0.124 0.124 0.124

# Pr2NiIr3 PBE-GGA optimized geometry
# Final energy = -136.364 eV for the cell shown
data_Pr2NiIr3
_chemical_formula_sum 'Pr6 Ni3 Ir9'
_symmetry_space_group_name_H-M 'R -3 m'
_symmetry_Int_Tables_number 166
_symmetry_space_group_name_Hall '-R 3 2"'
_cell_length_a 5.4787
_cell_length_b 5.4787
_cell_length_c 12.8344
_cell_angle_alpha 90.00
_cell_angle_beta 90.00
_cell_angle_gamma 120.00
loop_
_atom_site_label
_atom_site_type_symbol
_atom_site_fract_x
_atom_site_fract_y
_atom_site_fract_z
Pr1 Pr 0.0000 0.0000 0.1253
Ni1 Ni 0.0000 0.0000 0.5000
Ir1 Ir 0.0000 0.5000 0.0000

# Pr3Ni2Ir7 PBE-GGA optimized geometry
# Final energy = -282.914 eV for the cell shown
data_Pr3Ni2Ir7
_chemical_formula_sum 'Pr9 Ni6 Ir21'
_symmetry_space_group_name_H-M 'R -3 m'
_symmetry_Int_Tables_number 166
_symmetry_space_group_name_Hall '-R 3 2"'
_cell_length_a 5.3706
_cell_length_b 5.3706
_cell_length_c 25.7511
_cell_angle_alpha 90.00
_cell_angle_beta 90.00
_cell_angle_gamma 120.00
loop_
_atom_site_label
_atom_site_type_symbol
_atom_site_fract_x
_atom_site_fract_y
_atom_site_fract_z
Pr1 Pr 0.0000 0.0000 0.0000
Pr2 Pr 0.0000 0.0000 0.1404
Ni1 Ni 0.0000 0.0000 0.3331
Ir1 Ir 0.0000 0.0000 0.5000
Ir2 Ir 0.0007 0.5004 0.9212

# Pr4Ni2Ir PBE-GGA optimized geometry
# Final energy = -165.810 eV for the cell shown
data_Pr4Ni2Ir
_chemical_formula_sum 'Pr16 Ni8 Ir4'
_symmetry_space_group_name_H-M 'I m m a'
_symmetry_Int_Tables_number 74
_symmetry_space_group_name_Hall '-I 2b 2'
_cell_length_a 9.032
_cell_length_b 9.037
_cell_length_c 9.140
_cell_angle_alpha 90.00
_cell_angle_beta 90.00
_cell_angle_gamma 90.00
loop_
_atom_site_label
_atom_site_type_symbol
_atom_site_fract_x
_atom_site_fract_y
_atom_site_fract_z
Pr1 Pr 0.000 0.056 0.196
Pr2 Pr 0.194 0.250 0.554
Ni1 Ni 0.000 0.000 0.500
Ni2 Ni 0.250 0.250 0.250
Ir1 Ir 0.000 0.250 0.875

# PrPuNiIr PBE-GGA optimized geometry
# Final energy = -139.525 eV for the cell shown
data_PrPuNiIr
_chemical_formula_sum 'Pr4 Pu4 Ni4 Ir4'
_symmetry_space_group_name_H-M 'F -4 3 m'
_symmetry_Int_Tables_number 216
_symmetry_space_group_name_Hall 'F -4 2 3'
_cell_length_a 6.961
_cell_length_b 6.961
_cell_length_c 6.961
_cell_angle_alpha 90.00
_cell_angle_beta 90.00
_cell_angle_gamma 90.00
loop_
_atom_site_label
_atom_site_type_symbol
_atom_site_fract_x
_atom_site_fract_y
_atom_site_fract_z
Pr1 Pr 0.000 0.000 0.000
Pu1 Pu 0.000 0.000 0.500
Ni1 Ni 0.250 0.250 0.250
Ir1 Ir 0.250 0.250 0.750

# Pr2NiSb4Ir3 PBE-GGA optimized geometry
# Final energy = -64.503 eV for the cell shown
data_Pr2NiSb4Ir3
_chemical_formula_sum 'Pr2 Ni1 Sb4 Ir3'
_symmetry_space_group_name_H-M 'P -4 m 2'
_symmetry_Int_Tables_number 115
_cell_length_a 4.573
_cell_length_b 4.573
_cell_length_c 10.441
_cell_angle_alpha 90.00
_cell_angle_beta 90.00
_cell_angle_gamma 90.00
loop_
_symmetry_equiv_pos_as_xyz
'x,y,z'
'y,-x,-z'
'-x,-y,z'
'-y,x,-z'
'-x,y,z'
'-y,-x,-z'
'x,-y,z'
'y,x,-z'
loop_
_atom_site_label
_atom_site_type_symbol
_atom_site_fract_x
_atom_site_fract_y
_atom_site_fract_z
Pr1 Pr 0.000 0.500 0.240
Ni1 Ni 0.500 0.500 0.000
Sb1 Sb 0.000 0.000 0.500
Sb2 Sb 0.000 0.500 0.874
Sb3 Sb 0.500 0.500 0.500
Ir1 Ir 0.000 0.000 0.000
Ir2 Ir 0.000 0.500 0.625

# PrScNiIr PBE-GGA optimized geometry
# Final energy = -110.669 eV for the cell shown
data_PrScNiIr
_chemical_formula_sum 'Pr4 Sc4 Ni4 Ir4'
_symmetry_space_group_name_H-M 'F -4 3 m'
_symmetry_Int_Tables_number 216
_symmetry_space_group_name_Hall 'F -4 2 3'
_cell_length_a 6.791
_cell_length_b 6.791
_cell_length_c 6.791
_cell_angle_alpha 90.00
_cell_angle_beta 90.00
_cell_angle_gamma 90.00
loop_
_atom_site_label
_atom_site_type_symbol
_atom_site_fract_x
_atom_site_fract_y
_atom_site_fract_z
Pr1 Pr 0.000 0.000 0.000
Sc1 Sc 0.000 0.000 0.500
Ni1 Ni 0.250 0.250 0.250
Ir1 Ir 0.250 0.250 0.750

# Pr2Si3Ni12Ir PBE-GGA optimized geometry
# Final energy = -303.808 eV for the cell shown
data_Pr2Si3Ni12Ir
_chemical_formula_sum 'Pr6 Si9 Ni36 Ir3'
_symmetry_space_group_name_H-M 'R -3 m'
_symmetry_Int_Tables_number 166
_symmetry_space_group_name_Hall '-R 3 2"'
_cell_length_a 7.6631
_cell_length_b 7.6631
_cell_length_c 17.2507
_cell_angle_alpha 90.00
_cell_angle_beta 90.00
_cell_angle_gamma 120.00
loop_
_atom_site_label
_atom_site_type_symbol
_atom_site_fract_x
_atom_site_fract_y
_atom_site_fract_z
Pr1 Pr 0.0000 0.0000 0.1074
Si1 Si 0.0000 0.5000 0.0000
Ni1 Ni 0.0087 0.5043 0.8710
Ni2 Ni 0.0527 0.5263 0.3811
Ir1 Ir 0.0000 0.0000 0.5000

# Pr2Si4NiIr3 PBE-GGA optimized geometry
# Final energy = -72.883 eV for the cell shown
data_Pr2Si4NiIr3
_chemical_formula_sum 'Pr2 Si4 Ni1 Ir3'
_symmetry_space_group_name_H-M 'P -4 m 2'
_symmetry_Int_Tables_number 115
_cell_length_a 4.197
_cell_length_b 4.197
_cell_length_c 9.865
_cell_angle_alpha 90.00
_cell_angle_beta 90.00
_cell_angle_gamma 90.00
loop_
_symmetry_equiv_pos_as_xyz
'x,y,z'
'y,-x,-z'
'-x,-y,z'
'-y,x,-z'
'-x,y,z'
'-y,-x,-z'
'x,-y,z'
'y,x,-z'
loop_
_atom_site_label
_atom_site_type_symbol
_atom_site_fract_x
_atom_site_fract_y
_atom_site_fract_z
Pr1 Pr 0.000 0.500 0.247
Si1 Si 0.000 0.000 0.000
Si2 Si 0.000 0.500 0.626
Si3 Si 0.500 0.500 0.000
Ni1 Ni 0.000 0.000 0.500
Ir1 Ir 0.000 0.500 0.873
Ir2 Ir 0.500 0.500 0.500

# PrSi2Ni2Ir PBE-GGA optimized geometry
# Final energy = -36.671 eV for the cell shown
data_PrSi2Ni2Ir
_chemical_formula_sum 'Pr1 Si2 Ni2 Ir1'
_symmetry_space_group_name_H-M 'P 4/m m m'
_symmetry_Int_Tables_number 123
_symmetry_space_group_name_Hall '-P 4 2'
_cell_length_a 4.541
_cell_length_b 4.541
_cell_length_c 5.525
_cell_angle_alpha 90.00
_cell_angle_beta 90.00
_cell_angle_gamma 90.00
loop_
_atom_site_label
_atom_site_type_symbol
_atom_site_fract_x
_atom_site_fract_y
_atom_site_fract_z
Pr1 Pr 0.000 0.000 0.000
Si1 Si 0.000 0.500 0.500
Ni1 Ni 0.500 0.500 0.265
Ir1 Ir 0.000 0.000 0.500

# PrSmNiIr PBE-GGA optimized geometry
# Final energy = -52.420 eV for the cell shown
data_PrSmNiIr
_chemical_formula_sum 'Pr2 Sm2 Ni2 Ir2'
_symmetry_space_group_name_H-M 'A m m 2'
_symmetry_Int_Tables_number 38
_cell_length_a 4.151
_cell_length_b 4.008
_cell_length_c 10.936
_cell_angle_alpha 90.00
_cell_angle_beta 90.00
_cell_angle_gamma 90.00
loop_
_symmetry_equiv_pos_as_xyz
'x,y,z'
'-x,-y,z'
'-x,y,z'
'x,-y,z'
'x,y+1/2,z+1/2'
'-x,-y+1/2,z+1/2'
'-x,y+1/2,z+1/2'
'x,-y+1/2,z+1/2'
loop_
_atom_site_label
_atom_site_type_symbol
_atom_site_fract_x
_atom_site_fract_y
_atom_site_fract_z
Pr1 Pr 0.000 0.000 0.000
Sm1 Sm 0.500 0.000 0.718
Ni1 Ni 0.500 0.000 0.429
Ir1 Ir 0.000 0.000 0.281

# Pr2Ni3Sn4Ir PBE-GGA optimized geometry
# Final energy = -57.093 eV for the cell shown
data_Pr2Ni3Sn4Ir
_chemical_formula_sum 'Pr2 Ni3 Sn4 Ir1'
_symmetry_space_group_name_H-M 'P -4 m 2'
_symmetry_Int_Tables_number 115
_cell_length_a 4.464
_cell_length_b 4.464
_cell_length_c 10.425
_cell_angle_alpha 90.00
_cell_angle_beta 90.00
_cell_angle_gamma 90.00
loop_
_symmetry_equiv_pos_as_xyz
'x,y,z'
'y,-x,-z'
'-x,-y,z'
'-y,x,-z'
'-x,y,z'
'-y,-x,-z'
'x,-y,z'
'y,x,-z'
loop_
_atom_site_label
_atom_site_type_symbol
_atom_site_fract_x
_atom_site_fract_y
_atom_site_fract_z
Pr1 Pr 0.000 0.500 0.245
Ni1 Ni 0.000 0.000 0.000
Ni2 Ni 0.000 0.500 0.625
Sn1 Sn 0.000 0.000 0.500
Sn2 Sn 0.000 0.500 0.865
Sn3 Sn 0.500 0.500 0.500
Ir1 Ir 0.500 0.500 0.000

# Pr2NiSn4Ir3 PBE-GGA optimized geometry
# Final energy = -63.250 eV for the cell shown
data_Pr2NiSn4Ir3
_chemical_formula_sum 'Pr2 Ni1 Sn4 Ir3'
_symmetry_space_group_name_H-M 'P -4 m 2'
_symmetry_Int_Tables_number 115
_cell_length_a 4.515
_cell_length_b 4.515
_cell_length_c 10.776
_cell_angle_alpha 90.00
_cell_angle_beta 90.00
_cell_angle_gamma 90.00
loop_
_symmetry_equiv_pos_as_xyz
'x,y,z'
'y,-x,-z'
'-x,-y,z'
'-y,x,-z'
'-x,y,z'
'-y,-x,-z'
'x,-y,z'
'y,x,-z'
loop_
_atom_site_label
_atom_site_type_symbol
_atom_site_fract_x
_atom_site_fract_y
_atom_site_fract_z
Pr1 Pr 0.000 0.500 0.248
Ni1 Ni 0.500 0.500 0.000
Sn1 Sn 0.000 0.000 0.500
Sn2 Sn 0.000 0.500 0.875
Sn3 Sn 0.500 0.500 0.500
Ir1 Ir 0.000 0.000 0.000
Ir2 Ir 0.000 0.500 0.634

# TbPrNiIr PBE-GGA optimized geometry
# Final energy = -52.542 eV for the cell shown
# Energy above the most stable polymorph in this dataset = 0 meV/atom
data_TbPrNiIr
_chemical_formula_sum 'Tb2 Pr2 Ni2 Ir2'
_symmetry_space_group_name_H-M 'A m m 2'
_symmetry_Int_Tables_number 38
_cell_length_a 4.112
_cell_length_b 3.963
_cell_length_c 10.920
_cell_angle_alpha 90.00
_cell_angle_beta 90.00
_cell_angle_gamma 90.00
loop_
_symmetry_equiv_pos_as_xyz
'x,y,z'
'-x,-y,z'
'-x,y,z'
'x,-y,z'
'x,y+1/2,z+1/2'
'-x,-y+1/2,z+1/2'
'-x,y+1/2,z+1/2'
'x,-y+1/2,z+1/2'
loop_
_atom_site_label
_atom_site_type_symbol
_atom_site_fract_x
_atom_site_fract_y
_atom_site_fract_z
Tb1 Tb 0.000 0.000 0.000
Pr1 Pr 0.500 0.000 0.283
Ni1 Ni 0.000 0.000 0.709
Ir1 Ir 0.500 0.000 0.560

# TbPrNiIr PBE-GGA optimized geometry
# Final energy = -103.946 eV for the cell shown
# Energy above the most stable polymorph in this dataset = 71 meV/atom
data_TbPrNiIr
_chemical_formula_sum 'Tb4 Pr4 Ni4 Ir4'
_symmetry_space_group_name_H-M 'F -4 3 m'
_symmetry_Int_Tables_number 216
_symmetry_space_group_name_Hall 'F -4 2 3'
_cell_length_a 6.981
_cell_length_b 6.981
_cell_length_c 6.981
_cell_angle_alpha 90.00
_cell_angle_beta 90.00
_cell_angle_gamma 90.00
loop_
_atom_site_label
_atom_site_type_symbol
_atom_site_fract_x
_atom_site_fract_y
_atom_site_fract_z
Tb1 Tb 0.000 0.000 0.000
Pr1 Pr 0.000 0.000 0.500
Ni1 Ni 0.250 0.250 0.750
Ir1 Ir 0.250 0.250 0.250

# PrYNiIr PBE-GGA optimized geometry
# Final energy = -111.251 eV for the cell shown
# Energy above the most stable polymorph in this dataset = 68 meV/atom
data_PrYNiIr
_chemical_formula_sum 'Pr4 Y4 Ni4 Ir4'
_symmetry_space_group_name_H-M 'F -4 3 m'
_symmetry_Int_Tables_number 216
_symmetry_space_group_name_Hall 'F -4 2 3'
_cell_length_a 6.979
_cell_length_b 6.979
_cell_length_c 6.979
_cell_angle_alpha 90.00
_cell_angle_beta 90.00
_cell_angle_gamma 90.00
loop_
_atom_site_label
_atom_site_type_symbol
_atom_site_fract_x
_atom_site_fract_y
_atom_site_fract_z
Pr1 Pr 0.000 0.000 0.000
Y1 Y 0.000 0.000 0.500
Ni1 Ni 0.250 0.250 0.250
Ir1 Ir 0.250 0.250 0.750

# PrYNiIr PBE-GGA optimized geometry
# Final energy = -56.172 eV for the cell shown
# Energy above the most stable polymorph in this dataset = 0 meV/atom
data_PrYNiIr
_chemical_formula_sum 'Pr2 Y2 Ni2 Ir2'
_symmetry_space_group_name_H-M 'A m m 2'
_symmetry_Int_Tables_number 38
_cell_length_a 4.115
_cell_length_b 3.970
_cell_length_c 10.892
_cell_angle_alpha 90.00
_cell_angle_beta 90.00
_cell_angle_gamma 90.00
loop_
_symmetry_equiv_pos_as_xyz
'x,y,z'
'-x,-y,z'
'-x,y,z'
'x,-y,z'
'x,y+1/2,z+1/2'
'-x,-y+1/2,z+1/2'
'-x,y+1/2,z+1/2'
'x,-y+1/2,z+1/2'
loop_
_atom_site_label
_atom_site_type_symbol
_atom_site_fract_x
_atom_site_fract_y
_atom_site_fract_z
Pr1 Pr 0.000 0.000 0.000
Y1 Y 0.500 0.000 0.716
Ni1 Ni 0.500 0.000 0.426
Ir1 Ir 0.000 0.000 0.278

# Pr2Zn3Ni12Ir PBE-GGA optimized geometry
# Final energy = -269.065 eV for the cell shown
data_Pr2Zn3Ni12Ir
_chemical_formula_sum 'Pr6 Zn9 Ni36 Ir3'
_symmetry_space_group_name_H-M 'R -3 m'
_symmetry_Int_Tables_number 166
_symmetry_space_group_name_Hall '-R 3 2"'
_cell_length_a 5.9562
_cell_length_b 5.9562
_cell_length_c 26.8060
_cell_angle_alpha 90.00
_cell_angle_beta 90.00
_cell_angle_gamma 120.00
loop_
_atom_site_label
_atom_site_type_symbol
_atom_site_fract_x
_atom_site_fract_y
_atom_site_fract_z
Pr1 Pr 0.0000 0.0000 0.1496
Zn1 Zn 0.0000 0.5000 0.0000
Ni1 Ni 0.0492 0.5246 0.0946
Ni2 Ni 0.0716 0.5358 0.6171
Ir1 Ir 0.0000 0.0000 0.5000

# PrZnNi3Ir PBE-GGA optimized geometry
# Final energy = -130.233 eV for the cell shown
data_PrZnNi3Ir
_chemical_formula_sum 'Pr4 Zn4 Ni12 Ir4'
_symmetry_space_group_name_H-M 'C m c m'
_symmetry_Int_Tables_number 63
_symmetry_space_group_name_Hall '-C 2c 2'
_cell_length_a 5.304
_cell_length_b 13.195
_cell_length_c 5.458
_cell_angle_alpha 90.00
_cell_angle_beta 90.00
_cell_angle_gamma 90.00
loop_
_atom_site_label
_atom_site_type_symbol
_atom_site_fract_x
_atom_site_fract_y
_atom_site_fract_z
Pr1 Pr 0.000 0.189 0.250
Zn1 Zn 0.000 0.401 0.250
Ni1 Ni 0.000 0.372 0.750
Ni2 Ni 0.225 0.000 0.000
Ir1 Ir 0.000 0.142 0.750